Material: MnAs2Se
Method: DFT, meta-GGA SCAN
State: single point on PBEsol structure

Calculated values
For the total magnetization, the calculation gives 0.00 Bohr magnetons per cell. The calculation puts the formation energy (no corrections) at 21.5 kJ/mol of atoms. For the total energy, the calculation gives -19.456 eV per atom. Its volume is 16.826 A^3/atom.

Unit cell a=2.827 b=2.827 c=8.420 alpha=90.00 beta=90.00 gamma=90.00
Space group P4mm (No. 99)
Symmetry-distinct sites (fractional):
Mn  0.000  0.000  0.000 x1
As  0.000  0.000  0.511 x1
As  0.500  0.500  0.807 x1
Se  0.500  0.500  0.162 x1

***

Material: MnSnAs2Se
Method: DFT, meta-GGA SCAN
State: single point on PBEsol structure

Calculated values
For the total magnetization, the calculation gives 2.21 Bohr magnetons per cell. The calculation puts the formation energy (no corrections) at 18.7 kJ/mol of atoms. For the total energy, the calculation gives -22.733 eV per atom. Its volume is 21.133 A^3/atom.

Unit cell a=4.467 b=4.467 c=5.296 alpha=90.00 beta=90.00 gamma=90.00
Space group P4/mmm (No. 123)
Symmetry-distinct sites (fractional):
Mn  0.000  0.000  0.000 x1
Sn  0.500  0.500  0.500 x1
As  0.000  0.500  0.000 x2
Se  0.000  0.000  0.500 x1

***

Material: MnTeAsSe2
Method: DFT, meta-GGA SCAN
State: single point on PBEsol structure

Calculated values
For the total magnetization, the calculation gives 3.32 Bohr magnetons per cell. The calculation puts the formation energy (no corrections) at 21.6 kJ/mol of atoms. For the total energy, the calculation gives -22.946 eV per atom. Its volume is 20.595 A^3/atom.

Unit cell a=4.683 b=4.683 c=4.696 alpha=90.00 beta=90.00 gamma=90.00
Space group P4/mmm (No. 123)
Symmetry-distinct sites (fractional):
Mn  0.000  0.000  0.000 x1
Te  0.500  0.500  0.500 x1
As  0.000  0.000  0.500 x1
Se  0.000  0.500  0.000 x2

***

Material: MnTlAs2Se
Method: DFT, meta-GGA SCAN
State: single point on PBEsol structure

Calculated values
For the total magnetization, the calculation gives 3.19 Bohr magnetons per cell. The calculation puts the formation energy (no corrections) at 99.4 kJ/mol of atoms. For the total energy, the calculation gives -29.184 eV per atom. Its volume is 28.475 A^3/atom.

Unit cell a=5.195 b=5.195 c=5.275 alpha=90.00 beta=90.00 gamma=90.00
Space group P4/mmm (No. 123)
Symmetry-distinct sites (fractional):
Mn  0.000  0.000  0.000 x1
Tl  0.500  0.500  0.500 x1
As  0.000  0.500  0.500 x2
Se  0.500  0.500  0.000 x1

***

Material: MnTlAsSe2
Method: DFT, meta-GGA SCAN
State: single point on PBEsol structure

Calculated values
For the total magnetization, the calculation gives 3.67 Bohr magnetons per cell. The calculation puts the formation energy (no corrections) at 79.6 kJ/mol of atoms. For the total energy, the calculation gives -29.367 eV per atom. Its volume is 28.707 A^3/atom.

Unit cell a=5.278 b=5.278 c=5.153 alpha=90.00 beta=90.00 gamma=90.00
Space group P4/mmm (No. 123)
Symmetry-distinct sites (fractional):
Mn  0.000  0.000  0.000 x1
Tl  0.500  0.500  0.500 x1
As  0.500  0.500  0.000 x1
Se  0.000  0.500  0.500 x2

***

Material: ZrMnAsSe2
Method: DFT, meta-GGA SCAN
State: single point on PBEsol structure

Calculated values
For the total magnetization, the calculation gives 4.78 Bohr magnetons per cell. The calculation puts the formation energy (no corrections) at -17.4 kJ/mol of atoms. For the total energy, the calculation gives -22.040 eV per atom. Its volume is 26.787 A^3/atom.

Unit cell a=5.080 b=5.080 c=5.191 alpha=90.00 beta=90.00 gamma=90.00
Space group P4/mmm (No. 123)
Symmetry-distinct sites (fractional):
Zr  0.000  0.000  0.000 x1
Mn  0.500  0.500  0.500 x1
As  0.000  0.000  0.500 x1
Se  0.000  0.500  0.000 x2

***

Material: MnSiAs3
Method: DFT, meta-GGA SCAN
State: single point on PBEsol structure

Calculated values
For the total magnetization, the calculation gives 0.00 Bohr magnetons per cell. The calculation puts the formation energy (no corrections) at 70.5 kJ/mol of atoms. For the total energy, the calculation gives -17.038 eV per atom. Its volume is 18.443 A^3/atom.

Unit cell a=4.518 b=4.518 c=4.518 alpha=90.00 beta=90.00 gamma=90.00
Space group Pm-3m (No. 221)
Symmetry-distinct sites (fractional):
Mn  0.000  0.000  0.000 x1
Si  0.500  0.500  0.500 x1
As  0.000  0.000  0.500 x3

***

Material: Mn3SnAs
Method: DFT, meta-GGA SCAN
State: single point on PBEsol structure

Calculated values
For the total magnetization, the calculation gives 10.95 Bohr magnetons per cell. For the total energy, the calculation gives -22.068 eV per atom. Its volume is 18.786 A^3/atom. The calculated formation energy comes out at 107 meV/atom.

Unit cell a=4.546 b=4.546 c=4.546 alpha=90.00 beta=90.00 gamma=90.00
Space group Pm-3m (No. 221)
Symmetry-distinct sites (fractional):
Mn  0.000  0.000  0.500 x3
Sn  0.500  0.500  0.500 x1
As  0.000  0.000  0.000 x1

***

Material: SrMn2As2
Method: DFT, meta-GGA SCAN
State: single point on PBEsol structure

Calculated values
For the total magnetization, the calculation gives 6.64 Bohr magnetons per cell. For the total energy, the calculation gives -20.504 eV per atom. Its volume is 19.572 A^3/atom. The calculated formation energy comes out at -671 meV/atom.

Unit cell a=3.9451 b=3.9451 c=7.2604 alpha=90.00 beta=90.00 gamma=120.00
Space group P-3m1 (No. 164)
Symmetry-distinct sites (fractional):
Sr  0.0000  0.0000  0.0000 x1
Mn  0.3333  0.6667  0.6094 x2
As  0.3333  0.6667  0.2842 x2

***

Material: SrMnAs2
Method: DFT, meta-GGA SCAN
State: single point on PBEsol structure

Calculated values
For the total magnetization, the calculation gives 4.74 Bohr magnetons per cell. For the total energy, the calculation gives -20.618 eV per atom. Its volume is 21.231 A^3/atom. The calculated formation energy comes out at -390 meV/atom.

Unit cell a=4.661 b=4.661 c=3.910 alpha=90.00 beta=90.00 gamma=90.00
Space group P4/mmm (No. 123)
Symmetry-distinct sites (fractional):
Sr  0.000  0.000  0.000 x1
Mn  0.500  0.500  0.000 x1
As  0.000  0.500  0.500 x2

***

Material: SrMnAs2
Method: DFT, meta-GGA SCAN
State: single point on PBEsol structure

Calculated values
For the total magnetization, the calculation gives 8.96 Bohr magnetons per cell. For the total energy, the calculation gives -20.975 eV per atom. Its volume is 21.241 A^3/atom. The calculated formation energy comes out at -747 meV/atom.

Unit cell a=3.8601 b=3.8601 c=19.7532 alpha=90.00 beta=90.00 gamma=120.00
Space group R3m (No. 160, hexagonal axes)
Symmetry-distinct sites (fractional):
Sr  0.0000  0.0000  0.0000 x3
Mn  0.0000  0.0000  0.1739 x3
As  0.0000  0.0000  0.5630 x3
As  0.0000  0.0000  0.7791 x3

***

Material: SrMn2As
Method: DFT, meta-GGA SCAN
State: single point on PBEsol structure

Calculated values
For the total magnetization, the calculation gives 7.54 Bohr magnetons per cell. For the total energy, the calculation gives -19.951 eV per atom. Its volume is 19.357 A^3/atom. The calculated formation energy comes out at -206 meV/atom.

Unit cell a=3.307 b=3.307 c=7.079 alpha=90.00 beta=90.00 gamma=90.00
Space group P4mm (No. 99)
Symmetry-distinct sites (fractional):
Sr  0.000  0.000  0.000 x1
Mn  0.000  0.000  0.470 x1
Mn  0.500  0.500  0.669 x1
As  0.500  0.500  0.321 x1

***

Material: SrMnAs2
Method: DFT, meta-GGA SCAN
State: single point on PBEsol structure

Calculated values
For the total magnetization, the calculation gives 15.58 Bohr magnetons per cell. For the total energy, the calculation gives -20.245 eV per atom. Its volume is 20.954 A^3/atom. The calculated formation energy comes out at -17 meV/atom.

Unit cell a=6.947 b=6.947 c=6.947 alpha=90.00 beta=90.00 gamma=90.00
Space group F-43m (No. 216)
Symmetry-distinct sites (fractional):
Sr  0.000  0.000  0.000 x4
Mn  0.250  0.250  0.750 x4
As  0.000  0.000  0.500 x4
As  0.250  0.250  0.250 x4

***

Material: SrMn2As
Method: DFT, meta-GGA SCAN
State: single point on PBEsol structure

Calculated values
For the total magnetization, the calculation gives 7.41 Bohr magnetons per cell. For the total energy, the calculation gives -19.971 eV per atom. Its volume is 20.602 A^3/atom. The calculated formation energy comes out at -227 meV/atom.

Unit cell a=3.661 b=3.741 c=6.017 alpha=90.00 beta=90.08 gamma=90.00
Space group Pm (No. 6)
Symmetry-distinct sites (fractional):
Sr  0.000  0.000  0.000 x1
Mn  0.001  0.500  0.539 x1
Mn  0.500  0.000  0.530 x1
As  0.500  0.500  0.283 x1

***

Material: SrMnAs2
Method: DFT, meta-GGA SCAN
State: single point on PBEsol structure

Calculated values
For the total magnetization, the calculation gives 3.66 Bohr magnetons per cell. For the total energy, the calculation gives -20.673 eV per atom. Its volume is 19.828 A^3/atom. The calculated formation energy comes out at -445 meV/atom.

Unit cell a=3.385 b=3.385 c=6.924 alpha=90.00 beta=90.00 gamma=90.00
Space group P4/mmm (No. 123)
Symmetry-distinct sites (fractional):
Sr  0.000  0.000  0.000 x1
Mn  0.000  0.000  0.500 x1
As  0.500  0.500  0.310 x2